# Pm2ZrAg

A relaxed structure of Pm2ZrAg (PBE, Alexandria via LeMat-Bulk).

abc: 3.2760 3.2760 34.9141
angles: 90.00 90.00 120.00
Space group R-3m (No. 166, hexagonal axes)
Inequivalent atoms, fractional coordinates:
Pm 0.0000 0.0000 0.0918 [6 per cell]
Zr 0.0000 0.0000 0.0000 [3 per cell]
Ag 0.0000 0.0000 0.5000 [3 per cell]

Properties
M_tot = 0.000 μB per formula unit
calculated volume = 27.0 Å³/atom
DFT formation energy = 302.9 meV per atom